Entry from Alexandria via LeMat-Bulk: an optimized crystal structure of TlBi4Pb7 (PBE-GGA).

It has space group P-3m1 (No. 164), with a = 5.6866 Å, b = 5.6866 Å, c = 13.7110 Å, α = 90.00°, β = 90.00° and γ = 120.00°. Symmetry generates all atoms from Tl at (0.0000, 0.0000, 0.0000), Bi at (0.3333, 0.6667, 0.1322), Bi at (0.3333, 0.6667, 0.3826), Pb at (0.0000, 0.0000, 0.2465), Pb at (0.0000, 0.0000, 0.5000), Pb at (0.3333, 0.6667, 0.6283) and Pb at (0.3333, 0.6667, 0.8828).

For the energy relative to the elements, the calculation gives 7 meV/atom. For the magnetization, the calculation gives 0.00 μB per cell. The theoretical density is 10.77 g cm⁻³.

=====

Entry from Alexandria via LeMat-Bulk: an optimized crystal structure of Tl2Bi2Pb3 (PBE-GGA).

It has space group C2/m (No. 12), with a = 11.407 Å, b = 4.971 Å, c = 7.930 Å, α = 90.00°, β = 97.82° and γ = 90.00°. Symmetry generates all atoms from Tl at (0.075, 0.000, 0.218), Bi at (0.210, 0.000, 0.648), Pb at (0.000, 0.500, 0.500) and Pb at (0.145, 0.500, 0.927).

For the energy relative to the elements, the calculation gives 4 meV/atom. For the magnetization, the calculation gives 0.00 μB per cell. The theoretical density is 10.80 g cm⁻³.